[1]
PBE-GGA Ac2Ni4SbAs3, optimized geometry; SG = No. 115; E_form (uncorrected) = -7.424 eV/f.u.
1.0
4.3883 0.0000 0.0000
0.0000 4.3883 0.0000
0.0000 0.0000 9.8872
Ac Ni Sb As
2 4 1 3
direct
0.5000 0.0000 0.2354
0.0000 0.5000 0.7646
0.5000 0.5000 0.0000
0.0000 0.0000 0.0000
0.5000 0.0000 0.6280
0.0000 0.5000 0.3720
0.5000 0.5000 0.5000
0.0000 0.0000 0.5000
0.5000 0.0000 0.8771
0.0000 0.5000 0.1229

---

[2]
PBE-GGA Li2TbIn4, optimized geometry; SG = No. 139; final energy = -2.724 eV per atom
1.0
-2.6893 -3.9453 -3.3378
4.4774 0.1001 -3.7258
1.6705 -2.3361 6.4993
Li Tb In
2 1 4
direct
0.6319 0.6319 0.2639
0.3681 0.3681 0.7361
0.0000 0.0000 0.0000
0.7500 0.2500 0.5000
0.2500 0.7500 0.5000
0.5000 0.0000 0.0000
0.0000 0.5000 0.0000

---

[3]
PBE-GGA YAsI3, optimized geometry; SG = No. 221; E_form (uncorrected) = -2.164 eV/f.u.
1.0
-1.1610 -0.9337 -5.8642
3.5754 -4.8807 0.0693
-4.7411 -3.4520 1.4883
I Y As
3 1 1
direct
0.0000 0.5000 0.0000
0.0000 0.0000 0.5000
0.5000 0.0000 0.0000
0.0000 0.0000 0.0000
0.5000 0.5000 0.5000

---

[4]
PBE-GGA Hf2In2Pd5, optimized geometry; SG = No. 46; final energy = -6.100 eV per atom
1.0
-5.4690 4.3519 2.6373
0.9194 -2.6533 6.2848
6.7557 3.9510 -3.0900
Hf In Pd
4 4 10
direct
0.1065 0.6804 0.2447
0.8935 0.4356 0.7553
0.6382 0.1804 0.2447
0.3618 0.9356 0.7553
0.0000 0.9593 0.0000
0.5000 0.4593 0.0000
0.2586 0.4122 0.5000
0.7414 0.9122 0.5000
0.2682 0.7335 0.9184
0.7318 0.8151 0.0816
0.1502 0.2335 0.9184
0.8498 0.3151 0.0816
0.3618 0.0202 0.3073
0.6382 0.7129 0.6927
0.4455 0.5202 0.3073
0.5545 0.2129 0.6927
0.9230 0.5666 0.5000
0.0770 0.0666 0.5000

---

[5]
PBE-GGA Pr2SmAgHg4, optimized geometry; SG = No. 166; final energy = -2.685 eV per atom
1.0
5.2087 0.0000 0.0000
2.6044 4.5109 0.0000
2.6044 1.5036 9.0460
Pr Sm Ag Hg
2 1 1 4
direct
0.7592 0.7592 0.7223
0.2408 0.2408 0.2777
0.0000 0.0000 0.0000
0.5000 0.5000 0.5000
0.3706 0.3706 0.8882
0.8753 0.8753 0.3740
0.1247 0.1247 0.6260
0.6294 0.6294 0.1118

---

[6]
PBE-GGA Ho3ThRu, optimized geometry; SG = No. 36; final energy = -6.210 eV per atom
1.0
6.2523 0.0000 0.0000
0.0000 7.6240 0.0000
0.0000 -3.8120 6.2828
Ho Th Ru
6 2 2
direct
0.7875 0.0825 0.1650
0.2875 0.9175 0.8350
0.3039 0.4061 0.3108
0.8039 0.0953 0.6892
0.8039 0.5939 0.6892
0.3039 0.9047 0.3108
0.3253 0.4165 0.8330
0.8253 0.5835 0.1670
0.0648 0.2552 0.5103
0.5648 0.7448 0.4897

---

[7]
PBE-GGA Pr3PdAu4, optimized geometry; SG = No. 71; final energy = -4.771 eV per atom
1.0
-3.1800 1.1870 2.5515
1.7155 -5.5183 4.7052
4.8179 6.1837 -0.4056
Pr Pd Au
3 1 4
direct
0.1620 0.1620 0.3241
0.8380 0.8380 0.6759
0.0000 0.5000 0.0000
0.5000 0.0000 0.0000
0.3670 0.1722 0.7341
0.6330 0.8278 0.2659
0.6330 0.4381 0.2659
0.3670 0.5619 0.7341

---

[8]
PBE-GGA Y6BiSb2Se3, optimized geometry; SG = No. 12; E_form (uncorrected) = -17.005 eV/f.u.
1.0
-0.9159 -3.5860 -2.1088
5.9054 -4.1552 4.5010
-7.2346 0.7592 6.1535
Y Bi Sb Se
6 1 2 3
direct
0.3281 0.9214 0.6563
0.6646 0.5884 0.3293
0.6719 0.0786 0.3437
0.9976 0.2633 0.9952
0.0024 0.7367 0.0048
0.3354 0.4116 0.6707
0.5000 0.0000 0.0000
0.8335 0.6677 0.6670
0.1665 0.3323 0.3330
0.5000 0.5000 0.0000
0.8341 0.1676 0.6683
0.1659 0.8324 0.3317